A plane-wave DFT calculation with PBEsol was carried out for LiZn2Cu after structural relaxation.

* density of states at the Fermi level: 0.840 states/eV per cell
* energy relative to the elements: -0.13 eV/atom
* total magnetic moment: 0.00 μB/cell
* E: -2.50 eV/atom
* SG: P4/mmm, No. 123

a = 2.941 Å, b = 2.941 Å, c = 5.960 Å
α = 90.00°, β = 90.00°, γ = 90.05°
Atoms (fractional coordinates):
Zn 0.000 0.000 0.261
Cu 0.500 0.500 0.500
Li 0.500 0.500 0.000
Zn 0.000 0.000 0.739